Ce2Pm2GaGe4: relaxed, PBE.

Calculated values
SG: No. 139
Theoretical density (g cm⁻³): 6.97
Formation enthalpy at 0 K (eV per atom): -0.31

abc: 6.6630 6.6630 6.6630
angles: 115.20 115.20 98.54
Element x y z (fractional)
Ce (0.1810, 0.1810, 0.0000)
Ce (0.8190, 0.8190, 0.0000)
Pm (0.2500, 0.7500, 0.5000)
Pm (0.7500, 0.2500, 0.5000)
Ga (0.5000, 0.5000, 0.0000)
Ge (0.2529, 0.2529, 0.5058)
Ge (0.2529, 0.7471, 0.0000)
Ge (0.7471, 0.2529, 0.0000)
Ge (0.7471, 0.7471, 0.4942)